Entry 1:
PBE MnFe8Pt6, optimized geometry; calculated total energy = -111.32 eV/cell; energy of formation = 120.0 meV per atom
1.0
3.642 2.103 5.190
-3.642 2.103 5.190
0.000 -4.206 5.190
Mn Fe Pt
1 8 6
direct
0.000 0.000 0.000
0.115 0.789 0.461
0.211 0.539 0.885
0.326 0.326 0.326
0.461 0.115 0.789
0.539 0.885 0.211
0.674 0.674 0.674
0.789 0.461 0.115
0.885 0.211 0.539
0.060 0.383 0.713
0.287 0.940 0.617
0.383 0.713 0.060
0.617 0.287 0.940
0.713 0.060 0.383
0.940 0.617 0.287

***

Entry 2:
PBE BaLaRe2, optimized geometry; relative energy among the computed polymorphs = 4.05 eV per formula unit; calculated total energy = -26.68 eV/cell; energy of formation = 1265.9 meV per atom
1.0
2.924 0.000 0.000
0.000 2.924 0.000
0.000 0.000 10.739
Ba La Re
1 1 2
direct
0.000 0.000 0.000
0.000 0.000 0.500
0.500 0.500 0.263
0.500 0.500 0.737

***

Entry 3:
PBE ZrMnTe, optimized geometry; ΔE_f (raw) = -0.42 eV/f.u.; calculated total energy = -21.28 eV/cell
1.0
4.343 0.000 0.000
-2.171 3.761 0.000
0.000 0.000 3.568
Zr Mn Te
1 1 1
direct
0.000 0.000 0.000
0.667 0.333 0.397
0.333 0.667 0.475

***

Entry 4:
PBE GeAs, optimized geometry; calculated total energy = -18.59 eV/cell; energy of formation = -13.8 meV per atom
1.0
3.839 0.000 0.000
-1.919 3.324 0.000
0.000 0.000 8.116
Ge As
2 2
direct
0.000 0.000 0.153
0.000 0.000 0.847
0.333 0.667 0.708
0.667 0.333 0.292

***

Entry 5:
PBE CaSn2Bi, optimized geometry; calculated total energy = -15.38 eV/cell; energy of formation = -373.6 meV per atom
1.0
4.747 0.000 0.000
0.000 4.747 0.000
0.000 0.000 5.087
Ca Sn Bi
1 2 1
direct
0.000 0.000 0.000
0.000 0.500 0.500
0.500 0.000 0.500
0.500 0.500 0.000

***

Entry 6:
PBE KReRu, optimized geometry; relative energy among the computed polymorphs = 7.36 eV per formula unit; calculated total energy = -51.55 eV/cell; energy of formation = 3311.5 meV per atom
1.0
6.426 0.000 0.000
0.000 6.426 0.000
0.000 0.000 6.426
K Re Ru
4 4 4
direct
0.000 0.000 0.000
0.000 0.500 0.500
0.500 0.000 0.500
0.500 0.500 0.000
0.250 0.250 0.750
0.250 0.750 0.250
0.750 0.250 0.250
0.750 0.750 0.750
0.250 0.250 0.250
0.250 0.750 0.750
0.750 0.250 0.750
0.750 0.750 0.250

***

Entry 7:
PBE CrSi4, optimized geometry; relative energy among the computed polymorphs = 2.94 eV per formula unit; ΔE_f (raw) = 3.63 eV/f.u.; calculated total energy = -27.69 eV/cell
1.0
4.478 0.000 0.000
0.000 4.478 0.000
0.000 0.000 4.478
Cr Si
1 4
direct
0.000 0.000 0.000
0.000 0.000 0.500
0.000 0.500 0.000
0.500 0.000 0.000
0.500 0.500 0.500

***

Entry 8:
PBE K2ErCuCl6, optimized geometry; relative energy among the computed polymorphs = 0.00 eV per formula unit; ΔE_f (raw) = -17.83 eV/f.u.; calculated total energy = -79.53 eV/cell
1.0
7.622 0.000 0.000
0.000 8.255 0.000
-7.591 0.000 9.207
K Er Cu Cl
4 2 2 12
direct
0.234 0.083 0.253
0.234 0.417 0.753
0.766 0.583 0.247
0.766 0.917 0.747
0.500 0.000 0.000
0.500 0.500 0.500
0.000 0.000 0.500
0.000 0.500 0.000
0.166 0.161 0.952
0.166 0.339 0.452
0.289 0.727 0.951
0.289 0.773 0.451
0.315 0.031 0.720
0.315 0.469 0.220
0.685 0.531 0.780
0.685 0.969 0.280
0.711 0.227 0.549
0.711 0.273 0.049
0.834 0.661 0.548
0.834 0.839 0.048

***

Entry 9:
PBE Bi6Pd2Rh, optimized geometry; calculated total energy = -84.79 eV/cell; energy of formation = -152.3 meV per atom
1.0
7.376 0.000 0.000
0.000 6.760 0.000
-6.945 0.000 9.224
Bi Pd Rh
12 4 2
direct
0.095 0.035 0.230
0.095 0.465 0.730
0.215 0.160 0.559
0.215 0.340 0.059
0.401 0.656 0.580
0.401 0.844 0.080
0.599 0.156 0.920
0.599 0.344 0.420
0.785 0.660 0.941
0.785 0.840 0.441
0.905 0.535 0.270
0.905 0.965 0.770
0.265 0.656 0.254
0.265 0.844 0.754
0.735 0.156 0.246
0.735 0.344 0.746
0.500 0.000 0.500
0.500 0.500 0.000

***

Entry 10:
PBE Ho3ErCu2, optimized geometry; relative energy among the computed polymorphs = 0.00 eV per formula unit; calculated total energy = -55.08 eV/cell; energy of formation = -174.9 meV per atom
1.0
4.879 0.000 0.000
0.000 8.653 0.000
0.000 0.000 6.832
Ho Er Cu
6 2 4
direct
0.000 0.075 0.000
0.000 0.335 0.370
0.000 0.665 0.870
0.000 0.925 0.500
0.500 0.166 0.659
0.500 0.834 0.159
0.500 0.425 0.029
0.500 0.575 0.529
0.000 0.349 0.775
0.000 0.651 0.275
0.500 0.152 0.254
0.500 0.848 0.754

***

Entry 11:
PBE La2YZn, optimized geometry; relative energy among the computed polymorphs = 0.56 eV per formula unit; calculated total energy = -35.35 eV/cell; energy of formation = -20.3 meV per atom
1.0
4.818 0.000 0.000
0.000 4.818 0.000
0.000 0.000 10.101
La Y Zn
4 2 2
direct
0.000 0.000 0.000
0.000 0.500 0.250
0.500 0.000 0.750
0.500 0.500 0.500
0.000 0.500 0.750
0.500 0.000 0.250
0.000 0.000 0.500
0.500 0.500 0.000

***

Entry 12:
PBE LaPmInNi, optimized geometry; calculated total energy = -76.53 eV/cell; energy of formation = -233.4 meV per atom
1.0
7.502 0.000 0.000
0.000 7.502 0.000
0.000 0.000 7.502
La Pm In Ni
4 4 4 4
direct
0.000 0.000 0.000
0.000 0.500 0.500
0.500 0.000 0.500
0.500 0.500 0.000
0.000 0.000 0.500
0.000 0.500 0.000
0.500 0.000 0.000
0.500 0.500 0.500
0.250 0.250 0.750
0.250 0.750 0.250
0.750 0.250 0.250
0.750 0.750 0.750
0.250 0.250 0.250
0.250 0.750 0.750
0.750 0.250 0.750
0.750 0.750 0.250

***

Entry 13:
PBE AlI2O6, optimized geometry; ΔE_f (raw) = -7.43 eV/f.u.; calculated total energy = -88.05 eV/cell
1.0
4.439 -5.437 0.000
4.439 5.437 0.000
-0.782 0.000 5.124
Al I O
2 4 12
direct
0.072 0.928 0.750
0.928 0.072 0.250
0.177 0.447 0.795
0.447 0.177 0.295
0.553 0.823 0.705
0.823 0.553 0.205
0.059 0.668 0.868
0.065 0.166 0.586
0.166 0.065 0.086
0.290 0.528 0.507
0.332 0.941 0.632
0.472 0.710 0.993
0.528 0.290 0.007
0.668 0.059 0.368
0.710 0.472 0.493
0.834 0.935 0.914
0.935 0.834 0.414
0.941 0.332 0.132

***

Entry 14:
PBE NaCa3Os, optimized geometry; relative energy among the computed polymorphs = 5.71 eV per formula unit; calculated total energy = -11.42 eV/cell; energy of formation = 1427.6 meV per atom
1.0
5.460 0.000 0.000
0.000 5.460 0.000
0.000 0.000 5.460
Na Ca Os
1 3 1
direct
0.000 0.000 0.000
0.000 0.000 0.500
0.000 0.500 0.000
0.500 0.000 0.000
0.500 0.500 0.500

***

Entry 15:
PBE Eu2SeO2, optimized geometry; ΔE_f (raw) = -11.92 eV/f.u.; calculated total energy = -91.73 eV/cell
1.0
3.945 0.000 0.000
0.000 3.945 0.000
0.000 0.000 12.654
Eu Se O
4 2 4
direct
0.000 0.000 0.157
0.000 0.000 0.843
0.500 0.500 0.343
0.500 0.500 0.657
0.000 0.000 0.500
0.500 0.500 0.000
0.000 0.500 0.250
0.000 0.500 0.750
0.500 0.000 0.250
0.500 0.000 0.750

***

Entry 16:
PBE TmH12Rh7, optimized geometry; calculated total energy = -97.98 eV/cell
1.0
3.899 2.251 3.204
-3.899 2.251 3.204
0.000 -4.502 3.204
Tm H Rh
1 12 7
direct
0.000 0.000 0.000
0.063 0.845 0.379
0.155 0.621 0.937
0.188 0.416 0.550
0.379 0.063 0.845
0.416 0.550 0.188
0.450 0.812 0.584
0.550 0.188 0.416
0.584 0.450 0.812
0.621 0.937 0.155
0.812 0.584 0.450
0.845 0.379 0.063
0.937 0.155 0.621
0.072 0.531 0.246
0.246 0.072 0.531
0.469 0.754 0.928
0.500 0.500 0.500
0.531 0.246 0.072
0.754 0.928 0.469
0.928 0.469 0.754

***

Entry 17:
PBE Rb2Pt, optimized geometry; calculated total energy = -11.68 eV/cell; energy of formation = 712.1 meV per atom
1.0
0.000 4.625 4.625
4.625 0.000 4.625
4.625 4.625 0.000
Rb Pt
4 2
direct
0.000 0.000 0.000
0.000 0.000 0.500
0.000 0.500 0.000
0.500 0.000 0.000
0.375 0.375 0.375
0.625 0.625 0.625

***

Entry 18:
PBE ReGeIN2, optimized geometry; relative energy among the computed polymorphs = 0.00 eV per formula unit; ΔE_f (raw) = 4.43 eV/f.u.; calculated total energy = -30.84 eV/cell
1.0
3.974 0.000 0.000
0.000 3.974 0.000
0.000 0.000 5.638
Re Ge I N
1 1 1 2
direct
0.000 0.000 0.000
0.500 0.500 0.500
0.000 0.000 0.500
0.000 0.500 0.000
0.500 0.000 0.000

***

Entry 19:
PBE PuNp2H8, optimized geometry; calculated total energy = -70.04 eV/cell
1.0
-1.841 2.621 5.508
1.841 -2.621 5.508
1.841 2.621 -5.508
Pu Np H
1 2 8
direct
0.000 0.000 0.000
0.325 0.325 0.000
0.675 0.675 0.000
0.104 0.841 0.263
0.168 0.668 0.500
0.272 0.500 0.772
0.423 0.159 0.263
0.577 0.841 0.737
0.728 0.500 0.228
0.832 0.332 0.500
0.896 0.159 0.737

***

Entry 20:
PBE HoTlHg, optimized geometry; relative energy among the computed polymorphs = 0.19 eV per formula unit; calculated total energy = -32.07 eV/cell; energy of formation = -256.9 meV per atom
1.0
6.937 0.000 0.000
0.000 6.937 0.000
0.000 0.000 6.937
Ho Tl Hg
4 4 4
direct
0.000 0.000 0.000
0.000 0.500 0.500
0.500 0.000 0.500
0.500 0.500 0.000
0.000 0.000 0.500
0.000 0.500 0.000
0.500 0.000 0.000
0.500 0.500 0.500
0.250 0.250 0.750
0.250 0.750 0.250
0.750 0.250 0.250
0.750 0.750 0.750